Material: Ac3NpO6F2
Method: DFT, PBE
State: relaxed

Properties
- total moment (μB per atom) = 0.17
- Fermi-level density of states (states/eV/cell) = 7.48
- space-group type = C2/m
- energy relative to the elements, uncorrected (eV/atom) = -3.244

abc: 7.376 7.376 5.019
angles: 93.22 93.22 58.59
Sites, in units of the cell vectors:
1 Ac 0.000 0.000 0.000
2 Ac 0.000 0.500 0.500
3 Ac 0.500 0.000 0.500
4 Np 0.500 0.500 0.500
5 O 0.193 0.662 0.710
6 O 0.338 0.807 0.290
7 O 0.347 0.347 0.306
8 O 0.653 0.653 0.694
9 O 0.662 0.193 0.710
10 O 0.807 0.338 0.290
11 F 0.175 0.175 0.789
12 F 0.825 0.825 0.211


Material: BaHgSe2
Method: DFT, PBE
State: relaxed

Properties
- total moment (μB per atom) = 0.00
- Fermi-level density of states (states/eV/cell) = 0.00
- space-group type = Pna2_1
- energy relative to the elements, uncorrected (eV/atom) = -1.048

abc: 6.746 11.651 6.735
angles: 90.00 90.00 90.00
Sites, in units of the cell vectors:
1 Ba 0.015 0.125 0.000
2 Ba 0.485 0.625 0.500
3 Ba 0.515 0.375 0.000
4 Ba 0.985 0.875 0.500
5 Hg 0.078 0.376 0.421
6 Hg 0.422 0.876 0.921
7 Hg 0.578 0.124 0.421
8 Hg 0.922 0.624 0.921
9 Se 0.016 0.402 0.022
10 Se 0.027 0.848 0.004
11 Se 0.473 0.348 0.504
12 Se 0.484 0.902 0.522
13 Se 0.516 0.098 0.022
14 Se 0.527 0.652 0.004
15 Se 0.973 0.152 0.504
16 Se 0.984 0.598 0.522


Material: AgAs2Os
Method: DFT, PBE
State: relaxed

Properties
- offset from the most stable computed form (eV per atom) = 0.023
- formation energy (eV per atom) = 0.21
- total moment (μB per atom) = 0.00
- Fermi-level density of states (states/eV/cell) = 1.84
- space-group type = R-3m

abc: 8.532 8.532 8.532
angles: 20.91 20.91 20.91
Sites, in units of the cell vectors:
1 Ag 0.000 0.000 0.000
2 As 0.240 0.240 0.240
3 As 0.760 0.760 0.760
4 Os 0.500 0.500 0.500